Record 1
The following is a DFT calculation (PBE) of Ca2Tl3Pb after structural relaxation.

Lattice parameters (Å, degrees): 8.4065 8.4066 9.8935 98.83 148.25 79.54
Positions (direct):
1 Ca 0.5833 0.9821 0.2500
2 Ca 0.4167 0.0179 0.7500
3 Ca 0.7680 0.6667 0.7500
4 Ca 0.2320 0.3333 0.2500
5 Tl 0.5089 0.5855 0.2505
6 Tl 0.4911 0.4145 0.7495
7 Tl 0.8351 0.2584 0.2495
8 Tl 0.8218 0.0718 0.7500
9 Tl 0.1649 0.7416 0.7505
10 Tl 0.1782 0.9282 0.2500
11 Pb 0.9275 0.6775 0.2500
12 Pb 0.0725 0.3226 0.7500

Results
* space group: C2/c
* calculated total energy: -2.7230 eV/atom
* energy relative to the lowest polymorph listed for this composition: 0 meV/atom
* energy relative to the elements: -0.2547 eV/atom

---

Record 2
The following is a DFT calculation (PBE) of Ca4Tl5Pb2 after structural relaxation.

Lattice parameters (Å, degrees): 3.7829 10.0136 10.0738 119.12 90.00 90.00
Positions (direct):
1 Ca 0.5000 0.7603 0.5211
2 Ca 0.5000 0.2285 0.0019
3 Ca 0.5000 0.2397 0.4789
4 Ca 0.5000 0.7715 0.9981
5 Tl 0.0000 0.4552 0.3185
6 Tl 0.0000 0.0915 0.1777
7 Tl 0.0000 0.5000 0.0000
8 Tl 0.0000 0.9085 0.8223
9 Tl 0.0000 0.5448 0.6815
10 Pb 0.0000 0.1372 0.6861
11 Pb 0.0000 0.8628 0.3139

Results
* space group: P2/m
* calculated total energy: -2.7828 eV/atom
* energy relative to the elements: -0.3052 eV/atom

---

Record 3
The following is a DFT calculation (PBE) of Ca2Tl5Pb2 after structural relaxation.

Lattice parameters (Å, degrees): 6.4099 8.6271 11.4772 112.08 106.22 90.00
Positions (direct):
1 Ca 0.2142 0.6342 0.1902
2 Ca 0.7858 0.4440 0.8098
3 Ca 0.4760 0.1342 0.1902
4 Ca 0.5240 0.9440 0.8098
5 Tl 0.3155 0.6161 0.8439
6 Tl 0.6845 0.7722 0.1561
7 Tl 0.0284 0.1161 0.8439
8 Tl 0.9716 0.2722 0.1561
9 Tl 0.1352 0.0436 0.3347
10 Tl 0.8648 0.7089 0.6653
11 Tl 0.6995 0.5436 0.3347
12 Tl 0.3005 0.2089 0.6653
13 Tl 0.1503 0.8014 0.5000
14 Tl 0.8497 0.3014 0.5000
15 Pb 0.0000 0.8587 0.0000
16 Pb 0.5000 0.3587 0.0000
17 Pb 0.3582 0.4569 0.5000
18 Pb 0.6418 0.9569 0.5000

Results
* space group: Ima2
* calculated total energy: -2.7262 eV/atom
* energy relative to the lowest polymorph listed for this composition: 33 meV/atom
* energy relative to the elements: -0.1427 eV/atom

---

Record 4
The following is a DFT calculation (PBE) of Ca4Tl3Pb after structural relaxation.

Lattice parameters (Å, degrees): 3.8808 3.8808 15.7544 90.00 90.00 90.00
Positions (direct):
1 Pb 0.5000 0.5000 0.0000
2 Ca 0.0000 0.0000 0.8691
3 Ca 0.0000 0.0000 0.1309
4 Ca 0.0000 0.0000 0.3769
5 Ca 0.0000 0.0000 0.6231
6 Tl 0.5000 0.5000 0.2560
7 Tl 0.5000 0.5000 0.5000
8 Tl 0.5000 0.5000 0.7440

Results
* space group: P4/mmm
* calculated total energy: -2.8177 eV/atom
* energy relative to the elements: -0.4660 eV/atom

---

Which value of calculated total energy does entry 1 give?
-2.7230 eV/atom

---

Please write out number 4 again, unchanged.
The following is a DFT calculation (PBE) of Ca4Tl3Pb after structural relaxation.

Lattice parameters (Å, degrees): 3.8808 3.8808 15.7544 90.00 90.00 90.00
Positions (direct):
1 Pb 0.5000 0.5000 0.0000
2 Ca 0.0000 0.0000 0.8691
3 Ca 0.0000 0.0000 0.1309
4 Ca 0.0000 0.0000 0.3769
5 Ca 0.0000 0.0000 0.6231
6 Tl 0.5000 0.5000 0.2560
7 Tl 0.5000 0.5000 0.5000
8 Tl 0.5000 0.5000 0.7440

Results
* space group: P4/mmm
* calculated total energy: -2.8177 eV/atom
* energy relative to the elements: -0.4660 eV/atom